An optimized crystal structure of La2Pm2Dy7, computed with PBE. Values from VASP.

Cell and atoms, written as Quantum ESPRESSO input:
```
&SYSTEM
  ibrav = 0, nat = 11, ntyp = 3
/
ATOMIC_SPECIES
Dy 162.50 Dy.upf
La 138.91 La.upf
Pm 145.00 Pm.upf
CELL_PARAMETERS angstrom
0.681 6.756 -1.440
-0.186 -1.954 -9.240
-6.130 -3.160 0.790
ATOMIC_POSITIONS angstrom
Dy 0.281 2.756 -3.659
Dy -2.877 0.198 -7.895
Dy -2.758 1.445 -1.996
Dy -2.444 4.555 -3.984
Dy -3.192 -2.912 -5.906
Dy -5.916 -1.113 -6.232
Dy 0.000 0.000 0.000
La -4.172 1.715 -5.107
La -1.463 -0.073 -4.784
Pm -1.181 4.046 -0.831
Pm -4.455 -2.404 -9.059
```

* M_tot: 0.222 μB per cell
* formation enthalpy at 0 K: 343 meV/atom
* V: 34.47 Å³/atom

=====

An optimized crystal structure of BaLiNpO6, computed with PBE. Values from VASP.

Cell and atoms, written as Quantum ESPRESSO input:
```
&SYSTEM
  ibrav = 0, nat = 18, ntyp = 4
/
ATOMIC_SPECIES
Ba 137.33 Ba.upf
O 16.00 O.upf
Li 6.94 Li.upf
Np 237.00 Np.upf
CELL_PARAMETERS angstrom
-4.694 -2.825 -0.494
0.236 -1.326 5.333
-5.551 8.799 2.434
ATOMIC_POSITIONS angstrom
Ba -0.052 0.083 0.023
Ba -5.057 2.407 3.659
O -3.046 -2.606 3.248
O -4.829 4.877 2.831
O -6.758 1.964 1.712
O -7.079 2.782 5.274
O -1.594 -1.254 1.671
O -8.196 4.410 2.485
O -4.399 -0.941 1.393
O -4.652 -0.261 4.003
O -3.041 1.239 2.254
O -3.434 2.974 5.640
O -1.958 -0.199 4.278
O -5.048 5.367 6.206
Li -7.068 5.595 4.541
Li -2.064 3.271 0.905
Np -3.121 -0.661 2.810
Np -3.668 5.813 1.608
```

* M_tot: 4.142 μB per cell
* V: 17.96 Å³/atom
* formation energy from raw total energies: -2.035 eV/atom

=====

An optimized crystal structure of AlAsCl2, computed with PBE. Values from VASP.

Cell and atoms, written as Quantum ESPRESSO input:
```
&SYSTEM
  ibrav = 0, nat = 4, ntyp = 3
/
ATOMIC_SPECIES
Cl 35.45 Cl.upf
Al 26.98 Al.upf
As 74.92 As.upf
CELL_PARAMETERS angstrom
-6.431 0.524 -2.664
-6.806 -1.491 -0.432
-4.247 4.541 3.385
ATOMIC_POSITIONS angstrom
Cl -3.906 3.945 2.904
Cl -14.140 2.131 -0.451
Al -9.245 2.427 0.638
As -3.183 1.399 0.728
```

* M_tot: 0.257 μB per cell
* V: 33.02 Å³/atom
* formation energy from raw total energies: -0.558 eV/atom

=====

An optimized crystal structure of ReSiSe2, computed with PBE. Values from VASP.

Cell and atoms, written as Quantum ESPRESSO input:
```
&SYSTEM
  ibrav = 0, nat = 4, ntyp = 3
/
ATOMIC_SPECIES
Se 78.96 Se.upf
Re 186.21 Re.upf
Si 28.09 Si.upf
CELL_PARAMETERS angstrom
9.010 -0.040 -0.023
8.448 3.132 -0.023
8.448 1.496 2.751
ATOMIC_POSITIONS angstrom
Se 0.713 0.126 0.074
Se 5.737 1.016 0.599
Re 19.576 3.467 2.044
Si 12.831 2.273 1.340
```

* M_tot: 0.000 μB per cell
* V: 19.80 Å³/atom
* formation energy from raw total energies: -0.024 eV/atom